# 1
A relaxed structure of SrCoSb2Pd, computed with PBE.

Computed properties:
**D(E_F)**: 6.61 states/eV/f.u.
**Density**: 6.1 Mg/m³
**Crystal system**: tetragonal
**Formation energy (no corrections)**: 40 kJ/mol of formula units
**Uncorrected energy**: -21.81 eV for the cell shown

Cell: 5.2753 4.8591 5.2753 Å, 90.00 90.00 90.00°
Positions (direct):
Sb  0.0000  0.0000  0.5000
Sb  0.5000  0.0000  0.0000
Co  0.0000  0.5000  0.0000
Pd  0.0000  0.0000  0.0000
Sr  0.5000  0.5000  0.5000

=====

# 2
A relaxed structure of TiCoSbPd, computed with PBE.

Computed properties:
**D(E_F)**: 1.93 states/eV/f.u.
**Density**: 8.9 Mg/m³
**Crystal system**: cubic
**Formation energy (no corrections)**: -124 kJ/mol of formula units
**Uncorrected energy**: -25.61 eV for the cell shown

Cell: 4.4503 4.4503 4.4503 Å, 60.00 60.00 60.00°
Positions (direct):
Sb  0.7500  0.7500  0.7500
Co  0.5000  0.5000  0.5000
Pd  0.0000  0.0000  0.0000
Ti  0.2500  0.2500  0.2500

=====

# 3
A relaxed structure of TlCoSb2Pd, computed with PBE.

Computed properties:
**D(E_F)**: 3.66 states/eV/f.u.
**Density**: 6.5 Mg/m³
**Crystal system**: tetragonal
**Formation energy (no corrections)**: 675 kJ/mol of formula units
**Uncorrected energy**: -15.91 eV for the cell shown

Cell: 5.5838 5.0329 5.5838 Å, 90.00 90.00 90.00°
Positions (direct):
Sb  0.0000  0.0000  0.5000
Sb  0.5000  0.0000  0.0000
Tl  0.0000  0.0000  0.0000
Co  0.5000  0.5000  0.5000
Pd  0.0000  0.5000  0.0000

=====

# 4
A relaxed structure of Zr2CoSbPd, computed with PBE.

Computed properties:
**D(E_F)**: 6.45 states/eV/f.u.
**Density**: 6.7 Mg/m³
**Crystal system**: tetragonal
**Formation energy (no corrections)**: 188 kJ/mol of formula units
**Uncorrected energy**: -31.57 eV for the cell shown

Cell: 5.0392 5.0392 4.5988 Å, 90.00 90.00 90.00°
Positions (direct):
Sb  0.5000  0.5000  0.5000
Co  0.0000  0.0000  0.5000
Zr  0.0000  0.5000  0.0000
Zr  0.5000  0.0000  0.0000
Pd  0.0000  0.0000  0.0000

=====

# 5
A relaxed structure of Sc8CoPd2, computed with PBE.

Computed properties:
**ΔE to the lowest computed polymorph**: 0 meV/atom
**D(E_F)**: 12.74 states/eV/f.u.
**Density**: 4.7 Mg/m³
**Crystal system**: monoclinic
**Energy of formation from the pure elements**: -414 meV/atom
**Uncorrected energy**: -72.70 eV for the cell shown

Cell: 4.7622 6.3335 8.2432 Å, 108.49 106.79 90.00°
Positions (direct):
Sc  0.4060  0.5670  0.8120
Sc  0.6613  0.9606  0.3225
Sc  0.8024  0.7054  0.6048
Sc  0.9727  0.2070  0.9454
Sc  0.1976  0.2946  0.3952
Sc  0.3387  0.0394  0.6775
Sc  0.5940  0.4330  0.1880
Sc  0.0273  0.7930  0.0546
Co  0.5000  0.0000  0.0000
Pd  0.8184  0.3039  0.6368
Pd  0.1816  0.6961  0.3632

=====

# 6
A relaxed structure of Sc4CoPd, computed with PBE.

Computed properties:
**ΔE to the lowest computed polymorph**: 0 meV/atom
**D(E_F)**: 7.26 states/eV/f.u.
**Density**: 4.8 Mg/m³
**Crystal system**: monoclinic
**Energy of formation from the pure elements**: -429 meV/atom
**Uncorrected energy**: -80.40 eV for the cell shown

Cell: 5.5900 7.3014 7.3013 Å, 111.93 105.85 105.85°
Positions (direct):
Sc  0.8086  0.6435  0.7780
Sc  0.0873  0.9417  0.2934
Sc  0.6914  0.2220  0.3565
Sc  0.4127  0.7066  0.0583
Sc  0.5873  0.2934  0.9417
Sc  0.3086  0.7780  0.6435
Sc  0.9127  0.0583  0.7066
Sc  0.1914  0.3565  0.2220
Co  0.2500  0.0011  0.9989
Co  0.7500  0.9989  0.0011
Pd  0.7500  0.6346  0.3654
Pd  0.2500  0.3654  0.6346

=====

# 7
A relaxed structure of Sc5Co4Pd, computed with PBE.

Computed properties:
**D(E_F)**: 2.81 states/eV/f.u.
**Density**: 5.9 Mg/m³
**Crystal system**: tetragonal
**Energy of formation from the pure elements**: -473 meV/atom
**Uncorrected energy**: -70.00 eV for the cell shown

Cell: 3.1641 3.1641 15.8276 Å, 90.00 90.00 90.00°
Positions (direct):
Sc  0.5000  0.5000  0.1100
Sc  0.5000  0.5000  0.3050
Sc  0.5000  0.5000  0.5000
Sc  0.5000  0.5000  0.6950
Sc  0.5000  0.5000  0.8900
Co  0.0000  0.0000  0.2041
Co  0.0000  0.0000  0.4018
Co  0.0000  0.0000  0.5982
Co  0.0000  0.0000  0.7959
Pd  0.0000  0.0000  0.0000

=====

# 8
A relaxed structure of Sc8CoPd2, computed with PBE.

Computed properties:
**ΔE to the lowest computed polymorph**: 70 meV/atom
**D(E_F)**: 11.68 states/eV/f.u.
**Density**: 4.6 Mg/m³
**Crystal system**: monoclinic
**Energy of formation from the pure elements**: -345 meV/atom
**Uncorrected energy**: -71.94 eV for the cell shown

Cell: 5.3821 8.1015 8.1015 Å, 129.23 103.38 103.38°
Positions (direct):
Sc  0.6498  0.3874  0.1443
Sc  0.6498  0.1443  0.3874
Sc  0.1199  0.2619  0.2619
Sc  0.9821  0.1966  0.8077
Sc  0.9821  0.8077  0.1966
Sc  0.7686  0.7253  0.7253
Sc  0.2934  0.8610  0.6235
Sc  0.2934  0.6235  0.8610
Co  0.2936  0.0096  0.0096
Pd  0.4834  0.7161  0.3005
Pd  0.4834  0.3005  0.7161

=====

# 9
A relaxed structure of Sc6CoPd5, computed with PBE.

Computed properties:
**D(E_F)**: 5.26 states/eV/f.u.
**Density**: 6.7 Mg/m³
**Crystal system**: monoclinic
**Energy of formation from the pure elements**: -807 meV/atom
**Uncorrected energy**: -80.74 eV for the cell shown

Cell: 4.6707 6.4909 7.3406 Å, 90.00 72.19 90.00°
Positions (direct):
Sc  0.8393  0.7543  0.3234
Sc  0.8394  0.2457  0.3234
Sc  0.5000  0.2420  0.0000
Sc  0.5000  0.7580  0.0000
Sc  0.1606  0.7543  0.6766
Sc  0.1607  0.2457  0.6766
Co  0.0000  0.0000  0.0000
Pd  0.6682  0.5000  0.6623
Pd  0.3340  0.0000  0.3357
Pd  0.0000  0.5000  0.0000
Pd  0.6660  0.0000  0.6643
Pd  0.3318  0.5000  0.3377

=====

# 10
A relaxed structure of Sc4CoPd3, computed with PBE.

Computed properties:
**D(E_F)**: 3.84 states/eV/f.u.
**Density**: 6.7 Mg/m³
**Crystal system**: tetragonal
**Energy of formation from the pure elements**: -769 meV/atom
**Uncorrected energy**: -54.16 eV for the cell shown

Cell: 3.2402 3.2402 13.2324 Å, 90.00 90.00 90.00°
Positions (direct):
Sc  0.0000  0.0000  0.8868
Sc  0.0000  0.0000  0.1132
Sc  0.0000  0.0000  0.3705
Sc  0.0000  0.0000  0.6295
Co  0.5000  0.5000  0.0000
Pd  0.5000  0.5000  0.2440
Pd  0.5000  0.5000  0.5000
Pd  0.5000  0.5000  0.7560

=====

# 11
A relaxed structure of Sc3CoPd2, computed with PBE.

Computed properties:
**D(E_F)**: 3.73 states/eV/f.u.
**Density**: 6.6 Mg/m³
**Crystal system**: orthorhombic
**Energy of formation from the pure elements**: -716 meV/atom
**Uncorrected energy**: -81.56 eV for the cell shown

Cell: 4.6008 7.2582 6.4999 Å, 90.00 90.00 71.52°
Positions (direct):
Sc  0.8288  0.3425  0.7627
Sc  0.5000  0.0000  0.2420
Sc  0.1712  0.6575  0.2373
Sc  0.8287  0.3425  0.2373
Sc  0.1713  0.6575  0.7627
Sc  0.5000  0.0000  0.7580
Co  0.3330  0.3339  0.0000
Co  0.6670  0.6661  0.0000
Pd  0.0000  0.0000  0.0000
Pd  0.0000  0.0000  0.5000
Pd  0.3354  0.3292  0.5000
Pd  0.6646  0.6708  0.5000

=====

# 12
A relaxed structure of Sc5CoPd2, computed with PBE.

Computed properties:
**D(E_F)**: 5.95 states/eV/f.u.
**Density**: 5.4 Mg/m³
**Crystal system**: orthorhombic
**Energy of formation from the pure elements**: -556 meV/atom
**Uncorrected energy**: -107.19 eV for the cell shown

Cell: 4.5629 6.0842 10.9398 Å, 90.00 90.00 90.00°
Positions (direct):
Sc  0.0000  0.0000  0.5000
Sc  0.0000  0.5000  0.0000
Sc  0.0000  0.8577  0.2133
Sc  0.0000  0.1423  0.7867
Sc  0.0000  0.6423  0.7133
Sc  0.0000  0.3577  0.2867
Sc  0.5000  0.6696  0.4001
Sc  0.5000  0.3304  0.5999
Sc  0.5000  0.8304  0.9001
Sc  0.5000  0.1696  0.0999
Co  0.0000  0.5000  0.5000
Co  0.0000  0.0000  0.0000
Pd  0.5000  0.6135  0.1402
Pd  0.5000  0.3865  0.8598
Pd  0.5000  0.8865  0.6402
Pd  0.5000  0.1135  0.3598

=====

# 13
A relaxed structure of Sc2Co2Pd, computed with PBE.

Computed properties:
**ΔE to the lowest computed polymorph**: 0 meV/atom
**D(E_F)**: 3.34 states/eV/f.u.
**Density**: 6.7 Mg/m³
**Crystal system**: tetragonal
**Energy of formation from the pure elements**: -424 meV/atom
**Uncorrected energy**: -68.37 eV for the cell shown

Cell: 6.5863 6.5863 3.6151 Å, 90.00 90.00 90.00°
Positions (direct):
Sc  0.1817  0.6817  0.5000
Sc  0.6817  0.8183  0.5000
Sc  0.8183  0.3183  0.5000
Sc  0.3183  0.1817  0.5000
Co  0.3797  0.8797  0.0000
Co  0.8797  0.6203  0.0000
Co  0.6203  0.1203  0.0000
Co  0.1203  0.3797  0.0000
Pd  0.0000  0.0000  0.0000
Pd  0.5000  0.5000  0.0000

=====

# 14
A relaxed structure of Sc4Co3Pd, computed with PBE.

Computed properties:
**D(E_F)**: 3.27 states/eV/f.u.
**Density**: 6.0 Mg/m³
**Crystal system**: tetragonal
**Energy of formation from the pure elements**: -485 meV/atom
**Uncorrected energy**: -111.43 eV for the cell shown

Cell: 4.4661 6.4098 8.9318 Å, 90.00 90.00 90.00°
Positions (direct):
Sc  0.5000  0.7582  0.0000
Sc  0.5000  0.7582  0.5000
Sc  0.5000  0.2418  0.0000
Sc  0.5000  0.2418  0.5000
Sc  0.0000  0.7583  0.7500
Sc  0.0000  0.7583  0.2500
Sc  0.0000  0.2417  0.2500
Sc  0.0000  0.2417  0.7500
Co  0.0000  0.0000  0.0000
Co  0.0000  0.0000  0.5000
Co  0.5002  0.0000  0.7500
Co  0.4998  0.0000  0.2500
Co  0.5002  0.5000  0.7500
Co  0.4998  0.5000  0.2500
Pd  0.0000  0.5000  0.0000
Pd  0.0000  0.5000  0.5000

=====

# 15
A relaxed structure of Sc2CoPd, computed with PBE.

Computed properties:
**D(E_F)**: 1.67 states/eV/f.u.
**Density**: 6.4 Mg/m³
**Crystal system**: tetragonal
**Energy of formation from the pure elements**: -644 meV/atom
**Uncorrected energy**: -27.54 eV for the cell shown

Cell: 3.1961 3.1961 6.5219 Å, 90.00 90.00 90.00°
Positions (direct):
Sc  0.0000  0.0000  0.7649
Sc  0.0000  0.0000  0.2351
Co  0.5000  0.5000  0.0000
Pd  0.5000  0.5000  0.5000

=====

# 16
A relaxed structure of Sc4CoPd, computed with PBE.

Computed properties:
**ΔE to the lowest computed polymorph**: 127 meV/atom
**D(E_F)**: 6.56 states/eV/f.u.
**Density**: 4.5 Mg/m³
**Crystal system**: monoclinic
**Energy of formation from the pure elements**: -302 meV/atom
**Uncorrected energy**: -39.44 eV for the cell shown

Cell: 4.4470 4.4484 6.4332 Å, 89.89 89.94 90.00°
Positions (direct):
Sc  0.5011  0.9968  0.2660
Sc  0.5016  0.9978  0.7303
Sc  0.0016  0.4978  0.7303
Sc  0.0010  0.4968  0.2660
Co  0.0013  0.9974  0.4982
Pd  0.5013  0.4973  0.9981

=====

# 17
A relaxed structure of Sc8Co2Pd, computed with PBE.

Computed properties:
**D(E_F)**: 12.95 states/eV/f.u.
**Density**: 4.3 Mg/m³
**Crystal system**: monoclinic
**Energy of formation from the pure elements**: -246 meV/atom
**Uncorrected energy**: -72.76 eV for the cell shown

Cell: 5.0813 7.0415 7.0415 Å, 112.11 98.69 98.69°
Positions (direct):
Sc  0.5914  0.3332  0.0725
Sc  0.5914  0.0725  0.3332
Sc  0.1885  0.3763  0.3763
Sc  0.9999  0.2361  0.7704
Sc  0.9999  0.7704  0.2361
Sc  0.8115  0.6297  0.6297
Sc  0.4086  0.9338  0.6732
Sc  0.4086  0.6732  0.9338
Co  0.4997  0.6924  0.3136
Co  0.4997  0.3136  0.6924
Pd  0.0004  0.0028  0.0028

=====

# 18
A relaxed structure of Sc2Co2Pd, computed with PBE.

Computed properties:
**ΔE to the lowest computed polymorph**: 133 meV/atom
**D(E_F)**: 4.14 states/eV/f.u.
**Density**: 6.2 Mg/m³
**Crystal system**: tetragonal
**Energy of formation from the pure elements**: -291 meV/atom
**Uncorrected energy**: -33.52 eV for the cell shown

Cell: 3.3074 3.3074 7.9919 Å, 78.06 78.06 90.00°
Positions (direct):
Sc  0.3911  0.3911  0.2178
Sc  0.6089  0.6089  0.7822
Co  0.7500  0.2500  0.5000
Co  0.2500  0.7500  0.5000
Pd  0.0000  0.0000  0.0000

=====

# 19
A relaxed structure of Sc2CoPd, computed with PBE.

Computed properties:
**D(E_F)**: 1.79 states/eV/f.u.
**Density**: 6.0 Mg/m³
**Crystal system**: tetragonal
**Energy of formation from the pure elements**: -242 meV/atom
**Uncorrected energy**: -51.86 eV for the cell shown

Cell: 6.9387 6.9387 5.7130 Å, 52.61 52.61 90.00°
Positions (direct):
Sc  0.6002  0.1250  0.2500
Sc  0.1498  0.6250  0.2500
Sc  0.3750  0.3998  0.7500
Sc  0.8750  0.8502  0.7500
Co  0.5000  0.5000  0.0000
Co  0.2500  0.7500  0.5000
Pd  0.0000  0.0000  0.0000
Pd  0.7500  0.2500  0.5000

=====

# 20
A relaxed structure of Sc4CoPd2, computed with PBE.

Computed properties:
**D(E_F)**: 4.60 states/eV/f.u.
**Density**: 5.6 Mg/m³
**Crystal system**: orthorhombic
**Energy of formation from the pure elements**: -562 meV/atom
**Uncorrected energy**: -46.75 eV for the cell shown

Cell: 4.5310 5.6084 5.6084 Å, 109.27 90.00 90.00°
Positions (direct):
Sc  0.0000  0.7493  0.7493
Sc  0.0000  0.2507  0.2507
Sc  0.5000  0.0000  0.5000
Sc  0.5000  0.5000  0.0000
Co  0.5000  0.5000  0.5000
Pd  0.0000  0.7428  0.2572
Pd  0.0000  0.2572  0.7428

=====

# 21
A relaxed structure of Sc12Co6Pd, computed with PBE.

Computed properties:
**D(E_F)**: 12.74 states/eV/f.u.
**Density**: 4.7 Mg/m³
**Crystal system**: cubic
**Energy of formation from the pure elements**: -317 meV/atom
**Uncorrected energy**: -129.83 eV for the cell shown

Cell: 7.7139 7.7139 7.7139 Å, 109.47 109.47 109.47°
Positions (direct):
Sc  0.2937  0.0967  0.8030
Sc  0.2937  0.4906  0.1969
Sc  0.7063  0.5094  0.8030
Sc  0.7063  0.9033  0.1969
Sc  0.0967  0.8030  0.2937
Sc  0.4906  0.1969  0.2937
Sc  0.5094  0.8030  0.7063
Sc  0.9033  0.1969  0.7063
Sc  0.8030  0.2937  0.0967
Sc  0.1969  0.2937  0.4906
Sc  0.8030  0.7063  0.5094
Sc  0.1969  0.7063  0.9033
Co  0.3790  0.5000  0.8790
Co  0.6210  0.5000  0.1210
Co  0.5000  0.8790  0.3790
Co  0.5000  0.1210  0.6210
Co  0.8790  0.3790  0.5000
Co  0.1210  0.6210  0.5000
Pd  0.0000  0.0000  0.0000

=====

# 22
A relaxed structure of Sc2CoPd, computed with PBE.

Computed properties:
**D(E_F)**: 3.39 states/eV/f.u.
**Density**: 5.8 Mg/m³
**Crystal system**: trigonal
**Energy of formation from the pure elements**: -59 meV/atom
**Uncorrected energy**: -25.20 eV for the cell shown

Cell: 8.8481 8.8481 8.8481 Å, 20.24 20.24 20.24°
Positions (direct):
Sc  0.9034  0.9034  0.9034
Sc  0.0966  0.0966  0.0966
Co  0.5000  0.5000  0.5000
Pd  0.0000  0.0000  0.0000

=====

# 23
A relaxed structure of Sc4Co2Pd, computed with PBE.

Computed properties:
**D(E_F)**: 3.96 states/eV/f.u.
**Density**: 5.4 Mg/m³
**Crystal system**: trigonal
**Energy of formation from the pure elements**: -431 meV/atom
**Uncorrected energy**: -47.75 eV for the cell shown

Cell: 4.4723 4.4723 7.6636 Å, 73.04 73.04 60.00°
Positions (direct):
Sc  0.8705  0.8705  0.3886
Sc  0.1295  0.1295  0.6114
Sc  0.6187  0.6187  0.1438
Sc  0.3813  0.3813  0.8562
Co  0.7474  0.7474  0.7577
Co  0.2526  0.2526  0.2423
Pd  0.0000  0.0000  0.0000